--- one ---
# Nd2MgSb

Crystalline Nd2MgSb at its relaxed geometry (GGA-PBE, Alexandria).

Properties
The value obtained for the total magnetic moment is 0.00 μB/atom.

a b c (Å): 4.1085 4.1085 6.8618
angles (deg): 90.00 90.00 90.00
Space group P4/mmm (No. 123)
One atom of each set of equivalent atoms:
Nd: 0.0000 0.0000 0.2419
Mg: 0.5000 0.5000 0.5000
Sb: 0.5000 0.5000 0.0000

--- two ---
# Nd2MgSb

Crystalline Nd2MgSb at its relaxed geometry (GGA-PBE, Alexandria).

Properties
The value obtained for the total magnetic moment is 0.00 μB/atom.

a b c (Å): 7.7205 7.7205 7.7205
angles (deg): 90.00 90.00 90.00
Space group Fm-3m (No. 225)
One atom of each set of equivalent atoms:
Nd: 0.2500 0.2500 0.2500
Mg: 0.0000 0.0000 0.0000
Sb: 0.0000 0.0000 0.5000

--- three ---
# Nd2MgSb

Crystalline Nd2MgSb at its relaxed geometry (GGA-PBE, Alexandria).

Properties
The value obtained for the total magnetic moment is 0.00 μB/atom.

a b c (Å): 4.2423 7.4452 8.1122
angles (deg): 91.28 105.13 90.01
Space group P-1 (No. 2)
One atom of each set of equivalent atoms:
Nd: 0.0396 0.2191 0.0794
Nd: 0.2393 0.7541 0.4797
Mg: 0.4038 0.4593 0.8065
Sb: 0.3848 0.0657 0.7691

--- four ---
# Nd2MgSb

Crystalline Nd2MgSb at its relaxed geometry (GGA-PBE, Alexandria).

Properties
The value obtained for the total magnetic moment is 0.00 μB/atom.

a b c (Å): 4.4271 4.4271 23.8512
angles (deg): 90.00 90.00 120.00
Space group R-3m (No. 166, hexagonal axes)
One atom of each set of equivalent atoms:
Nd: 0.0000 0.0000 0.2411
Mg: 0.0000 0.0000 0.0000
Sb: 0.0000 0.0000 0.5000

Stability, lowest: four

--- one ---
# Nd2MgSc

Crystalline Nd2MgSc at its relaxed geometry (GGA-PBE, Alexandria).

Properties
The value obtained for the total magnetic moment is 0.00 μB/atom.

a b c (Å): 5.6024 5.6024 3.7486
angles (deg): 90.00 90.00 90.00
Space group P4/mmm (No. 123)
One atom of each set of equivalent atoms:
Nd: 0.0000 0.5000 0.0000
Mg: 0.0000 0.0000 0.5000
Sc: 0.5000 0.5000 0.5000

--- two ---
# Nd2MgSc

Crystalline Nd2MgSc at its relaxed geometry (GGA-PBE, Alexandria).

Properties
The value obtained for the total magnetic moment is 0.00 μB/atom.

a b c (Å): 7.7781 7.7781 7.7781
angles (deg): 90.00 90.00 90.00
Space group Fm-3m (No. 225)
One atom of each set of equivalent atoms:
Nd: 0.2500 0.2500 0.2500
Mg: 0.0000 0.0000 0.0000
Sc: 0.0000 0.0000 0.5000

--- three ---
# Nd2MgSc

Crystalline Nd2MgSc at its relaxed geometry (GGA-PBE, Alexandria).

Properties
The value obtained for the total magnetic moment is 0.00 μB/atom.

a b c (Å): 3.4298 3.4298 36.5746
angles (deg): 90.00 90.00 120.00
Space group R-3m (No. 166, hexagonal axes)
One atom of each set of equivalent atoms:
Nd: 0.0000 0.0000 0.0913
Mg: 0.0000 0.0000 0.0000
Sc: 0.0000 0.0000 0.5000

--- four ---
# Nd2MgSc

Crystalline Nd2MgSc at its relaxed geometry (GGA-PBE, Alexandria).

Properties
The value obtained for the total magnetic moment is 0.00 μB/atom.

a b c (Å): 6.0103 3.4764 11.6025
angles (deg): 90.00 99.84 90.00
Space group Cm (No. 8)
One atom of each set of equivalent atoms:
Nd: 0.0000 0.0000 0.0000
Nd: 0.1726 0.0000 0.5155
Mg: 0.2529 0.5000 0.2583
Sc: 0.0859 0.5000 0.7573

Stability, lowest: three

--- one ---
# Nd3MgSc

Crystalline Nd3MgSc at its relaxed geometry (GGA-PBE, Alexandria).

Properties
The value obtained for the total magnetic moment is 0.00 μB/atom.

a b c (Å): 17.5855 3.3846 11.2923
angles (deg): 90.00 108.34 90.00
Space group C2/m (No. 12)
One atom of each set of equivalent atoms:
Nd: 0.0052 0.0000 0.2254
Nd: 0.1897 0.5000 0.3604
Nd: 0.1967 0.0000 0.8580
Mg: 0.0956 0.0000 0.5460
Sc: 0.0989 0.5000 0.0404

--- two ---
# Nd3MgSc

Crystalline Nd3MgSc at its relaxed geometry (GGA-PBE, Alexandria).

Properties
The value obtained for the total magnetic moment is 0.00 μB/atom.

a b c (Å): 22.6182 3.4910 8.3745
angles (deg): 90.00 107.76 90.00
Space group C2/m (No. 12)
One atom of each set of equivalent atoms:
Nd: 0.0182 0.0000 0.2228
Nd: 0.1266 0.5000 0.0340
Nd: 0.1782 0.0000 0.4476
Mg: 0.0778 0.5000 0.6013
Sc: 0.2360 0.5000 0.8268

Stability, lowest: one

--- one ---
# NdMg6Sc

Crystalline NdMg6Sc at its relaxed geometry (GGA-PBE, Alexandria).

Properties
The value obtained for the total magnetic moment is 0.00 μB/atom.

a b c (Å): 9.3747 9.3853 4.5323
angles (deg): 90.00 90.00 90.00
Space group Cmmm (No. 65)
One atom of each set of equivalent atoms:
Nd: 0.0000 0.0000 0.0000
Mg: 0.0000 0.2589 0.5000
Mg: 0.2407 0.5000 0.5000
Mg: 0.2500 0.2500 0.0000
Sc: 0.0000 0.5000 0.0000

--- two ---
# NdMg6Sc

Crystalline NdMg6Sc at its relaxed geometry (GGA-PBE, Alexandria).

Properties
The value obtained for the total magnetic moment is 0.00 μB/atom.

a b c (Å): 4.6562 4.6562 9.2071
angles (deg): 90.00 90.00 90.00
Space group P4/mmm (No. 123)
One atom of each set of equivalent atoms:
Nd: 0.0000 0.0000 0.0000
Mg: 0.0000 0.5000 0.2618
Mg: 0.5000 0.5000 0.0000
Mg: 0.5000 0.5000 0.5000
Sc: 0.0000 0.0000 0.5000

Stability, lowest: one

--- one ---
# NdSmMgSc

Crystalline NdSmMgSc at its relaxed geometry (GGA-PBE, Alexandria).

Properties
The value obtained for the total magnetic moment is 0.00 μB/atom.

a b c (Å): 7.7429 7.7429 7.7429
angles (deg): 90.00 90.00 90.00
Space group F-43m (No. 216)
One atom of each set of equivalent atoms:
Nd: 0.0000 0.0000 0.0000
Sm: 0.0000 0.0000 0.5000
Mg: 0.2500 0.2500 0.7500
Sc: 0.2500 0.2500 0.2500

--- two ---
# NdSmMgSc

Crystalline NdSmMgSc at its relaxed geometry (GGA-PBE, Alexandria).

Properties
The value obtained for the total magnetic moment is 0.08 μB/atom.

a b c (Å): 3.6832 3.6832 8.6537
angles (deg): 90.00 90.00 90.00
Space group P4mm (No. 99)
One atom of each set of equivalent atoms:
Nd: 0.0000 0.0000 0.0000
Sm: 0.0000 0.0000 0.4965
Mg: 0.5000 0.5000 0.2509
Sc: 0.5000 0.5000 0.7461

Stability, lowest: one